This record from Alexandria describes a relaxed YEr2Sb crystal. The functional is PBE.

Values from the calculation:
The calculation puts the total energy at -43.9 eV/cell. As for the energy above the most stable polymorph in this dataset: 0.00 eV/f.u. The calculation puts the size of the total moment at 0.00 μB per formula unit. For the raw formation energy, the calculation gives -2.2 eV per formula unit. The volume comes out at 236.2 Å³ per cell. Its density is 7664 kg/m³.

a = 4.1236 Å, b = 6.4077 Å, c = 9.4430 Å
α = 90.00°, β = 90.00°, γ = 108.77°
Closest atoms and distances in Å follow each position.
Positions (direct):
Er 0.3636 0.7274 0.5478  3 Sb 3.09-3.18, 1 Er 3.43
Sb 0.2414 0.4828 0.2500  6 Er 3.09-3.18, 2 Y 3.19
Er 0.6364 0.2726 0.0478  3 Sb 3.09-3.18, 1 Er 3.43
Y 0.9416 0.8832 0.2500  2 Sb 3.19
Er 0.3636 0.7274 0.9522  3 Sb 3.09-3.18, 1 Er 3.43
Y 0.0584 0.1168 0.7500  2 Sb 3.19
Er 0.6364 0.2726 0.4522  3 Sb 3.09-3.18, 1 Er 3.43
Sb 0.7586 0.5172 0.7500  6 Er 3.09-3.18, 2 Y 3.19

This record from Alexandria describes a relaxed YErSb crystal. The functional is PBE.

Values from the calculation:
The calculation puts the total energy at -35.2 eV/cell. The calculation puts the size of the total moment at 0.00 μB per formula unit. For the raw formation energy, the calculation gives -2.5 eV per formula unit. The volume comes out at 167.8 Å³ per cell. Its density is 7480 kg/m³.

a = 4.4589 Å, b = 4.4589 Å, c = 8.4401 Å
α = 90.01°, β = 89.99°, γ = 90.00°
Closest atoms and distances in Å follow each position.
Positions (direct):
Y 0.2499 0.7501 0.3508  5 Sb 3.13-3.21
Er 0.7500 0.7500 0.0000  4 Er 3.15, 4 Sb 3.24
Y 0.7501 0.2499 0.6492  5 Sb 3.13-3.21
Sb 0.7499 0.2501 0.2784  5 Y 3.13-3.21, 4 Er 3.24
Sb 0.2501 0.7499 0.7216  5 Y 3.13-3.21, 4 Er 3.24
Er 0.2500 0.2500 0.0000  4 Er 3.15, 4 Sb 3.24

This record from Alexandria describes a relaxed Y5Er3Sb8 crystal. The functional is PBE.

Values from the calculation:
The calculation puts the total energy at -97.2 eV/cell. The calculation puts the size of the total moment at 0.00 μB per formula unit. For the raw formation energy, the calculation gives -18.2 eV per formula unit. The volume comes out at 474.5 Å³ per cell. Its density is 6720 kg/m³.

a = 8.7549 Å, b = 8.7549 Å, c = 8.7550 Å
α = 60.00°, β = 60.00°, γ = 60.00°
Closest atoms and distances in Å follow each position.
Positions (direct):
Er 0.0000 0.0000 0.5000  6 Sb 3.08
Sb 0.7500 0.7500 0.2519  2 Er 3.08, 4 Y 3.10-3.11
Er 0.5000 0.0000 0.5000  6 Sb 3.08
Sb 0.2481 0.7500 0.2519  2 Er 3.08, 4 Y 3.10-3.11
Y 0.5000 0.0000 0.0000  6 Sb 3.11
Y 0.5000 0.5000 0.5000  6 Sb 3.10
Sb 0.7519 0.2500 0.7481  2 Er 3.08, 4 Y 3.10-3.11
Y 0.5000 0.5000 0.0000  6 Sb 3.11
Sb 0.2500 0.7519 0.7481  2 Er 3.08, 4 Y 3.10-3.11
Er 0.0000 0.5000 0.5000  6 Sb 3.08
Sb 0.2500 0.2500 0.7481  2 Er 3.08, 4 Y 3.10-3.11
Sb 0.7509 0.7509 0.7472  3 Er 3.08, 3 Y 3.11
Sb 0.2491 0.2491 0.2528  3 Er 3.08, 3 Y 3.11
Sb 0.7500 0.2481 0.2519  2 Er 3.08, 4 Y 3.10-3.11
Y 0.0000 0.5000 0.0000  6 Sb 3.11
Y 0.0000 0.0000 0.0000  6 Sb 3.10

This record from Alexandria describes a relaxed Y2ErSb3 crystal. The functional is PBE.

Values from the calculation:
The calculation puts the total energy at -36.7 eV/cell. The calculation puts the size of the total moment at 0.00 μB per formula unit. For the raw formation energy, the calculation gives -6.9 eV per formula unit. The volume comes out at 178.1 Å³ per cell. Its density is 6625 kg/m³.

a = 4.3793 Å, b = 6.1896 Å, c = 7.5842 Å
α = 114.08°, β = 106.78°, γ = 90.00°
Closest atoms and distances in Å follow each position.
Positions (direct):
Sb 0.6650 0.6650 0.3301  2 Er 3.08, 4 Y 3.09-3.11
Sb 0.3350 0.3350 0.6699  2 Er 3.08, 4 Y 3.09-3.11
Y 0.3328 0.8328 0.6656  6 Sb 3.09-3.11
Sb 0.0000 0.0000 0.0000  2 Er 3.09, 4 Y 3.10
Y 0.6672 0.1672 0.3344  6 Sb 3.09-3.11
Er 0.0000 0.5000 0.0000  6 Sb 3.08-3.09

This record from Alexandria describes a relaxed YErSb2 crystal. The functional is PBE.

Values from the calculation:
The calculation puts the total energy at -23.4 eV/cell. As for the energy above the most stable polymorph in this dataset: 0.43 eV/f.u. The calculation puts the size of the total moment at 0.00 μB per formula unit. For the raw formation energy, the calculation gives -4.1 eV per formula unit. The volume comes out at 120.7 Å³ per cell. Its density is 6874 kg/m³.

a = 4.3414 Å, b = 4.3414 Å, c = 7.8082 Å
α = 73.86°, β = 73.86°, γ = 60.00°
Closest atoms and distances in Å follow each position.
Positions (direct):
Y 0.4981 0.4981 0.5056  6 Sb 3.12-3.17
Sb 0.0809 0.0809 0.7572  3 Er 3.06, 3 Y 3.12
Sb 0.2522 0.2522 0.2435  3 Er 3.11, 3 Y 3.17
Er 0.6687 0.6687 0.9938  6 Sb 3.06-3.11

This record from Alexandria describes a relaxed YErSb2 crystal. The functional is PBE.

Values from the calculation:
The calculation puts the total energy at -23.8 eV/cell. As for the energy above the most stable polymorph in this dataset: 0.00 eV/f.u. The calculation puts the size of the total moment at 0.00 μB per formula unit. For the raw formation energy, the calculation gives -4.5 eV per formula unit. The volume comes out at 118.2 Å³ per cell. Its density is 7018 kg/m³.

a = 4.3723 Å, b = 4.3723 Å, c = 7.5740 Å
α = 73.22°, β = 73.22°, γ = 60.00°
Closest atoms and distances in Å follow each position.
Positions (direct):
Sb 0.7509 0.7509 0.7472  3 Er 3.08, 3 Y 3.10
Er 0.5000 0.5000 0.5000  6 Sb 3.08
Sb 0.2491 0.2491 0.2528  3 Er 3.08, 3 Y 3.10
Y 0.0000 0.0000 0.0000  6 Sb 3.10

This record from Alexandria describes a relaxed YEr4Sb5 crystal. The functional is PBE.

Values from the calculation:
The calculation puts the total energy at -56.4 eV/cell. The calculation puts the size of the total moment at 0.00 μB per formula unit. For the raw formation energy, the calculation gives -11.1 eV per formula unit. The volume comes out at 293.1 Å³ per cell. Its density is 7743 kg/m³.

a = 4.3613 Å, b = 6.1644 Å, c = 11.5375 Å
α = 105.49°, β = 100.89°, γ = 90.00°
Closest atoms and distances in Å follow each position.
Positions (direct):
Er 0.4000 0.4000 0.8000  6 Sb 3.08
Sb 0.1998 0.6998 0.3996  6 Er 3.08
Y 0.0000 0.0000 0.0000  6 Sb 3.08-3.10
Er 0.7995 0.7995 0.5990  6 Sb 3.08
Sb 0.0000 0.5000 0.0000  2 Y 3.08, 4 Er 3.08
Er 0.2005 0.2005 0.4010  6 Sb 3.08
Sb 0.8002 0.3002 0.6004  6 Er 3.08
Er 0.6000 0.6000 0.2000  6 Sb 3.08
Sb 0.3990 0.8990 0.7979  4 Er 3.08, 2 Y 3.10
Sb 0.6010 0.1010 0.2021  4 Er 3.08, 2 Y 3.10

This record from Alexandria describes a relaxed Y4ErSb5 crystal. The functional is PBE.

Values from the calculation:
The calculation puts the total energy at -62.6 eV/cell. The calculation puts the size of the total moment at 0.00 μB per formula unit. For the raw formation energy, the calculation gives -11.5 eV per formula unit. The volume comes out at 297.6 Å³ per cell. Its density is 6315 kg/m³.

a = 4.3833 Å, b = 6.1967 Å, c = 11.5948 Å
α = 105.50°, β = 100.90°, γ = 90.00°
Closest atoms and distances in Å follow each position.
Positions (direct):
Y 0.1995 0.1995 0.3990  6 Sb 3.10-3.11
Sb 0.5989 0.0989 0.1978  2 Er 3.08, 4 Y 3.10-3.11
Y 0.8005 0.8005 0.6010  6 Sb 3.10-3.11
Er 0.0000 0.0000 0.0000  6 Sb 3.08-3.10
Y 0.4000 0.4000 0.8000  6 Sb 3.10
Sb 0.2002 0.7002 0.4003  6 Y 3.10
Sb 0.0000 0.5000 0.0000  2 Er 3.10, 4 Y 3.10
Sb 0.4011 0.9011 0.8022  2 Er 3.08, 4 Y 3.10-3.11
Y 0.6000 0.6000 0.2000  6 Sb 3.10
Sb 0.7998 0.2998 0.5997  6 Y 3.10

This record from Alexandria describes a relaxed YErSb2 crystal. The functional is PBE.

Values from the calculation:
The calculation puts the total energy at -47.0 eV/cell. As for the energy above the most stable polymorph in this dataset: 0.29 eV/f.u. The calculation puts the size of the total moment at 0.00 μB per formula unit. For the raw formation energy, the calculation gives -4.2 eV per formula unit. The volume comes out at 237.4 Å³ per cell. Its density is 6991 kg/m³.

a = 4.3594 Å, b = 4.3594 Å, c = 14.4232 Å
α = 90.00°, β = 90.00°, γ = 120.00°
Closest atoms and distances in Å follow each position.
Positions (direct):
Er 0.0000 0.0000 0.0000  6 Sb 3.07
Y 0.3333 0.6667 0.7500  6 Sb 3.13
Sb 0.3333 0.6667 0.1213  3 Er 3.07, 3 Y 3.13
Y 0.6667 0.3333 0.2500  6 Sb 3.13
Sb 0.6667 0.3333 0.8787  3 Er 3.07, 3 Y 3.13
Sb 0.3333 0.6667 0.3787  3 Er 3.07, 3 Y 3.13
Sb 0.6667 0.3333 0.6213  3 Er 3.07, 3 Y 3.13
Er 0.0000 0.0000 0.5000  6 Sb 3.07

This record from Alexandria describes a relaxed YEr2Sb crystal. The functional is PBE.

Values from the calculation:
The calculation puts the total energy at -21.0 eV/cell. As for the energy above the most stable polymorph in this dataset: 0.97 eV/f.u. The calculation puts the size of the total moment at 0.70 μB per formula unit. For the raw formation energy, the calculation gives -1.3 eV per formula unit. The volume comes out at 129.2 Å³ per cell. Its density is 7009 kg/m³.

a = 3.9804 Å, b = 3.9804 Å, c = 9.6895 Å
α = 78.15°, β = 78.15°, γ = 60.00°
Closest atoms and distances in Å follow each position.
Positions (direct):
Y 0.5005 0.5005 0.4985  6 Er 3.61-3.63, 6 Y 3.98
Er 0.2655 0.2655 0.2034  3 Sb 2.98
Er 0.0678 0.0678 0.7966  3 Sb 3.00
Sb 0.6661 0.6661 0.0016  6 Er 2.98-3.00